(1)
The following is a PBE calculation of an optimized crystal structure of MgTaFeAs, from OQMD via LeMat-Bulk.

The structure in extended XYZ format:
```
4
Lattice="0.000 3.158 3.158 3.158 0.000 3.158 3.158 3.158 0.000" Properties=species:S:1:pos:R:3 pbc="T T T"
Mg 0.000 0.000 0.000
Ta 4.738 4.738 4.738
Fe 3.158 3.158 3.158
As 1.579 1.579 1.579
```

Results
electronic total energy	-6.20	eV/atom
SG	No. 216
offset from the most stable computed form	0	meV per atom
crystal system	cubic

=====

(2)
The following is a PBE calculation of an optimized crystal structure of MgFeTcAs, from OQMD via LeMat-Bulk.

The structure in extended XYZ format:
```
4
Lattice="0.000 3.014 3.014 3.014 0.000 3.014 3.014 3.014 0.000" Properties=species:S:1:pos:R:3 pbc="T T T"
Mg 0.000 0.000 0.000
Fe 4.522 4.522 4.522
Tc 1.507 1.507 1.507
As 3.014 3.014 3.014
```

Results
electronic total energy	-6.05	eV/atom
SG	No. 216
offset from the most stable computed form	0	meV per atom
crystal system	cubic

=====

(3)
The following is a PBE calculation of an optimized crystal structure of MgTlFeAs, from OQMD via LeMat-Bulk.

The structure in extended XYZ format:
```
4
Lattice="0.000 3.362 3.362 3.362 0.000 3.362 3.362 3.362 0.000" Properties=species:S:1:pos:R:3 pbc="T T T"
Mg 0.000 0.000 0.000
Tl 1.681 1.681 1.681
Fe 3.362 3.362 3.362
As 5.043 5.043 5.043
```

Results
electronic total energy	-3.93	eV/atom
SG	No. 216
offset from the most stable computed form	0	meV per atom
crystal system	cubic

=====

(4)
The following is a PBE calculation of an optimized crystal structure of MgFeAsW, from OQMD via LeMat-Bulk.

The structure in extended XYZ format:
```
4
Lattice="0.000 3.109 3.109 3.109 0.000 3.109 3.109 3.109 0.000" Properties=species:S:1:pos:R:3 pbc="T T T"
Mg 0.000 0.000 0.000
Fe 3.109 3.109 3.109
As 1.554 1.554 1.554
W 4.663 4.663 4.663
```

Results
electronic total energy	-6.22	eV/atom
SG	No. 216
offset from the most stable computed form	93	meV per atom
crystal system	cubic

=====

(5)
The following is a PBE calculation of an optimized crystal structure of MgFeAsW, from OQMD via LeMat-Bulk.

The structure in extended XYZ format:
```
4
Lattice="0.000 3.080 3.080 3.080 0.000 3.080 3.080 3.080 0.000" Properties=species:S:1:pos:R:3 pbc="T T T"
Mg 0.000 0.000 0.000
Fe 4.619 4.619 4.619
As 3.080 3.080 3.080
W 1.540 1.540 1.540
```

Results
electronic total energy	-6.31	eV/atom
SG	No. 216
offset from the most stable computed form	0	meV per atom
crystal system	cubic

=====

(6)
The following is a PBE calculation of an optimized crystal structure of MgZrFeAs, from OQMD via LeMat-Bulk.

The structure in extended XYZ format:
```
4
Lattice="0.000 3.229 3.229 3.229 0.000 3.229 3.229 3.229 0.000" Properties=species:S:1:pos:R:3 pbc="T T T"
Mg 0.000 0.000 0.000
Zr 1.615 1.615 1.615
Fe 4.844 4.844 4.844
As 3.229 3.229 3.229
```

Results
electronic total energy	-5.66	eV/atom
SG	No. 216
offset from the most stable computed form	72	meV per atom
crystal system	cubic

=====

(7)
The following is a PBE calculation of an optimized crystal structure of MgZrFeAs, from OQMD via LeMat-Bulk.

The structure in extended XYZ format:
```
4
Lattice="0.000 3.178 3.178 3.178 0.000 3.178 3.178 3.178 0.000" Properties=species:S:1:pos:R:3 pbc="T T T"
Mg 0.000 0.000 0.000
Zr 4.767 4.767 4.767
Fe 3.178 3.178 3.178
As 1.589 1.589 1.589
```

Results
electronic total energy	-5.73	eV/atom
SG	No. 216
offset from the most stable computed form	0	meV per atom
crystal system	cubic

=====

(8)
The following is a PBE calculation of an optimized crystal structure of FeNiMoAs, from OQMD via LeMat-Bulk.

The structure in extended XYZ format:
```
4
Lattice="0.000 2.952 2.952 2.952 0.000 2.952 2.952 2.952 0.000" Properties=species:S:1:pos:R:3 pbc="T T T"
Fe 0.000 0.000 0.000
Ni 4.429 4.429 4.429
Mo 1.476 1.476 1.476
As 2.952 2.952 2.952
```

Results
electronic total energy	-7.24	eV/atom
SG	No. 216
offset from the most stable computed form	44	meV per atom
crystal system	cubic

=====

Repeat the first record exactly.
The following is a PBE calculation of an optimized crystal structure of MgTaFeAs, from OQMD via LeMat-Bulk.

The structure in extended XYZ format:
```
4
Lattice="0.000 3.158 3.158 3.158 0.000 3.158 3.158 3.158 0.000" Properties=species:S:1:pos:R:3 pbc="T T T"
Mg 0.000 0.000 0.000
Ta 4.738 4.738 4.738
Fe 3.158 3.158 3.158
As 1.579 1.579 1.579
```

Results
electronic total energy	-6.20	eV/atom
SG	No. 216
offset from the most stable computed form	0	meV per atom
crystal system	cubic

=====

Q: The lowest electronic total energy belongs to which entry?
A: FeNiMoAs